A geometry-optimized Mg6CrCd structure. Source: the Alexandria database, functional PBE-GGA.

```
Mg6CrCd
1.0
3.121 -5.401 0.000
3.121 5.401 0.000
0.000 0.000 5.057
Mg Cr Cd
6 1 1
Cartesian
3.121 -3.600 2.528 Mg
1.570 0.908 0.000 Mg
1.527 -0.938 2.528 Mg
4.672 0.908 0.000 Mg
4.715 -0.938 2.528 Mg
3.121 -1.789 0.000 Mg
3.121 3.619 0.000 Cr
3.121 1.829 2.528 Cd
```

Calculated values
**Calculated formation energy**: 0.74 eV/f.u.
**Symmetry**: Amm2, No. 38



A geometry-optimized AgSeS structure. Source: the Alexandria database, functional PBE-GGA.

```
AgSeS
1.0
-4.988 -0.194 1.057
0.844 -0.112 3.959
-0.125 6.547 0.212
Se S Ag
2 2 2
Cartesian
-4.198 5.670 1.055 Se
-0.915 0.682 0.214 Se
-1.347 3.737 2.464 S
-2.923 2.504 2.765 S
-2.072 -0.153 2.508 Ag
-0.062 3.273 0.106 Ag
```

Calculated values
**Symmetry**: P2/m, No. 10
**Energy relative to the elements, uncorrected**: -9 meV per atom
**Energy relative to the lowest polymorph listed for this composition**: 0 meV/atom



A geometry-optimized Zr2Co structure. Source: the Alexandria database, functional PBE-GGA.

```
Zr2Co
1.0
-1.498 1.498 12.881
1.498 -1.498 12.881
1.498 1.498 -12.881
Zr Co
4 2
Cartesian
0.000 0.000 11.165 Zr
0.000 0.000 14.596 Zr
1.498 0.000 8.155 Zr
1.498 0.000 4.725 Zr
0.000 1.498 6.440 Co
0.000 0.000 0.000 Co
```

Calculated values
**Calculated formation energy**: 0.02 eV/f.u.
**Symmetry**: I4_1/amd, No. 141



| no. | N(E_F) (states/eV/atom) | electronic total energy (eV for the cell shown) |
| --- | --- | --- |
| 1 | 0.386 | -19.37 |
| 2 | 0.503 | -20.98 |
| 3 | 1.029 | -48.37 |